No. 1
A relaxed structure of Ce3Te3C. Source: the Alexandria database, functional PBE.

Values from the calculation:
E_tot: -6.23 eV/atom
Calculated volume: 29.995 Å³/atom

```
data_Ce3Te3C
_chemical_formula_sum 'Ce12 Te12 C4'
_cell_length_a 8.653
_cell_length_b 12.753
_cell_length_c 7.804
_cell_angle_alpha 90.00
_cell_angle_beta 102.77
_cell_angle_gamma 90.00
_symmetry_space_group_name_H-M 'C 1 2/m 1'
_symmetry_Int_Tables_number 12
_symmetry_space_group_name_Hall '-C 2y'
loop_
_atom_site_label
_atom_site_fract_x
_atom_site_fract_y
_atom_site_fract_z
Ce1 0.102 0.000 0.335
Ce2 0.205 0.354 0.219
Te1 0.000 0.164 0.000
Te2 0.000 0.254 0.500
Te3 0.110 0.500 0.850
C1 0.166 0.000 0.650
```

=====

No. 2
A relaxed structure of Ce4Te3C. Source: the Alexandria database, functional PBE.

Values from the calculation:
E_tot: -6.10 eV/atom
Calculated volume: 34.794 Å³/atom

```
data_Ce4Te3C
_chemical_formula_sum 'Ce8 Te6 C2'
_cell_length_a 9.922
_cell_length_b 8.942
_cell_length_c 6.275
_cell_angle_alpha 90.00
_cell_angle_beta 90.00
_cell_angle_gamma 90.00
_symmetry_space_group_name_H-M 'P m n 21'
_symmetry_Int_Tables_number 31
_symmetry_space_group_name_Hall 'P 2ac -2'
loop_
_atom_site_label
_atom_site_fract_x
_atom_site_fract_y
_atom_site_fract_z
Ce1 0.000 0.088 0.000
Ce2 0.000 0.828 0.524
Ce3 0.201 0.705 0.007
Te1 0.000 0.172 0.503
Te2 0.228 0.347 0.009
C1 0.000 0.829 0.899
```

=====

No. 3
A relaxed structure of Ce2TeC. Source: the Alexandria database, functional PBE.

Values from the calculation:
E_tot: -6.76 eV/atom
Distance to the lowest polymorph of the same formula: 0.029 eV per atom
Calculated volume: 23.919 Å³/atom

```
data_Ce2TeC
_chemical_formula_sum 'Ce6 Te3 C3'
_cell_length_a 3.8707
_cell_length_b 3.8707
_cell_length_c 22.1216
_cell_angle_alpha 90.00
_cell_angle_beta 90.00
_cell_angle_gamma 120.00
_symmetry_space_group_name_H-M 'R 3 m'
_symmetry_Int_Tables_number 160
_symmetry_space_group_name_Hall 'R 3 -2"'
loop_
_atom_site_label
_atom_site_fract_x
_atom_site_fract_y
_atom_site_fract_z
Ce1 0.0000 0.0000 0.0000
Ce2 0.0000 0.0000 0.2087
Te1 0.0000 0.0000 0.7717
C1 0.0000 0.0000 0.6021
```

=====

No. 4
A relaxed structure of Ce6Te2C. Source: the Alexandria database, functional PBE.

Values from the calculation:
E_tot: -6.00 eV/atom
Calculated volume: 33.158 Å³/atom

```
data_Ce6Te2C
_chemical_formula_sum 'Ce12 Te4 C2'
_cell_length_a 6.901
_cell_length_b 6.901
_cell_length_c 12.534
_cell_angle_alpha 90.00
_cell_angle_beta 90.00
_cell_angle_gamma 90.00
_symmetry_space_group_name_H-M 'P 42/m n m'
_symmetry_Int_Tables_number 136
_symmetry_space_group_name_Hall '-P 4n 2n'
loop_
_atom_site_label
_atom_site_fract_x
_atom_site_fract_y
_atom_site_fract_z
Ce1 0.188 0.188 0.139
Ce2 0.245 0.245 0.500
Te1 0.000 0.000 0.337
C1 0.000 0.000 0.000
```